Below is an optimized crystal structure of HSeCl2, with properties calculated at the PBE level.

Summary:
For the offset from the most stable computed form, the calculation gives 34.26 kJ/mol of atoms. As for the total energy: -2.0281 eV/atom. The value obtained for the calculated volume is 18.97 A^3/atom.

extended XYZ file:
```
8
Lattice="-5.250 -1.394 1.998 2.425 -3.450 3.965 -1.228 1.047 5.887" Properties=species:S:1:pos:R:3 pbc="T T T"
H -1.413 -2.422 2.981
H -0.108 -2.412 6.416
Se 0.000 0.000 0.000
Se -3.945 -1.384 5.433
Cl -2.624 -0.865 2.965
Cl -0.109 -2.244 4.451
Cl -1.675 -1.465 7.150
Cl -3.698 -3.019 9.133
```